This record from Alexandria describes a relaxed Pm6SmDy8 crystal. The functional is GGA-PBE.

Computed properties:
SG = P-3, No. 147
V = 33.29 Å³ per atom
DOS at the Fermi energy = 1.59 states/eV per atom
crystal system = trigonal
E_form = 3.79 kcal/mol of atoms

```
15
Lattice="-7.4004 -0.8323 6.5558 5.4380 -7.9503 -2.3784 3.7174 1.2402 4.3538" Properties=species:S:1:pos:R:3 pbc="T T T"
Pm 0.6462 -7.8464 3.4897
Pm 0.7025 -2.0988 1.8044
Pm 4.6830 -5.9350 -0.5015
Pm 1.1088 0.3040 5.0415
Pm 1.0526 -5.4436 6.7268
Pm -2.9279 -1.6074 9.0327
Sm 1.8587 0.6201 2.1769
Dy -0.7725 -4.3794 3.9203
Dy -3.6895 -3.4659 6.1507
Dy -2.0520 -0.8192 3.9986
Dy 2.5275 -3.1630 4.6109
Dy 5.4445 -4.0765 2.3805
Dy 3.8070 -6.7232 4.5326
Dy -0.2538 -2.2484 6.9357
Dy 2.0088 -5.2940 1.5955
```


This record from Alexandria describes a relaxed MgTlN crystal. The functional is GGA-PBE.

Computed properties:
SG = P4/nmm, No. 129
V = 19.43 Å³ per atom
E_form (uncorrected) = -0.1 eV/f.u.
DOS at the Fermi energy = 0.00 states/eV per atom
crystal system = tetragonal

```
6
Lattice="3.8084 0.0000 0.0000 0.0000 3.8084 0.0000 0.0000 0.0000 8.0383" Properties=species:S:1:pos:R:3 pbc="T T T"
Tl 0.0000 1.9042 6.5953
Tl 1.9042 0.0000 1.4430
Mg 0.0000 0.0000 4.0191
Mg 1.9042 1.9042 4.0191
N 0.0000 1.9042 3.0962
N 1.9042 0.0000 4.9420
```


This record from Alexandria describes a relaxed Li3Pu2UTe6 crystal. The functional is GGA-PBE.

Computed properties:
SG = C2/m, No. 12
V = 29.31 Å³ per atom
E_form (uncorrected) = -11.3 eV/f.u.
DOS at the Fermi energy = 2.76 states/eV per atom
crystal system = monoclinic

```
12
Lattice="-4.2581 5.9879 -1.9784 -1.0177 -6.7020 -3.4568 -2.9901 -1.5391 6.6576" Properties=species:S:1:pos:R:3 pbc="T T T"
Li -3.0519 -5.3604 0.1180
Li -5.2141 3.1072 1.1044
Li -4.1330 -1.1266 0.6112
Pu -2.0972 -2.4745 -2.9643
Pu -3.1786 1.7604 -2.4709
U 0.0000 0.0000 0.0000
Te -6.7048 0.4041 1.1044
Te -4.7635 -0.9358 -2.4089
Te -1.5611 -2.6573 0.1180
Te -5.6421 -3.7578 0.6195
Te -3.5024 -1.3174 3.6313
Te -2.6239 1.5046 0.6029
```


This record from Alexandria describes a relaxed NaPu2IO8 crystal. The functional is GGA-PBE.

Computed properties:
SG = P-1, No. 2
V = 18.00 Å³ per atom
E_form (uncorrected) = -22.5 eV/f.u.
DOS at the Fermi energy = 0.84 states/eV per atom
crystal system = triclinic

```
12
Lattice="5.4771 0.6841 -0.0016 0.8001 5.9004 0.0033 0.0252 0.0414 6.7974" Properties=species:S:1:pos:R:3 pbc="T T T"
Na 0.0126 0.0207 3.3987
Pu 3.1657 3.3343 5.1102
Pu 3.1367 3.2917 1.6890
I 0.0000 0.0000 0.0000
O 1.6704 4.7613 1.5692
O 4.0682 4.1426 0.2352
O 4.4546 1.6888 1.5623
O 4.6319 1.8646 5.2299
O 2.2342 2.4833 6.5639
O 1.8478 4.9372 5.2368
O 4.0728 4.1737 3.6078
O 2.2296 2.4523 3.1913
```


This record from Alexandria describes a relaxed Er8In2Cu crystal. The functional is GGA-PBE.

Computed properties:
SG = C2/m, No. 12
V = 27.55 Å³ per atom
DOS at the Fermi energy = 0.94 states/eV per atom
crystal system = monoclinic
E_form = -4.16 kcal/mol of atoms

```
11
Lattice="5.1017 0.0000 0.0000 0.0000 6.6566 0.3050 -2.5508 -2.4434 8.8119" Properties=species:S:1:pos:R:3 pbc="T T T"
Er 0.0000 1.6278 7.3561
Er 2.5508 5.7526 2.8987
Er 2.5508 3.2408 5.4007
Er 2.5508 -0.8502 8.5966
Er 0.0000 0.9724 3.7162
Er 0.0000 -1.5393 6.2181
Er 2.5508 2.5855 1.7608
Er 0.0000 5.0635 0.5203
In 2.5508 0.1561 5.5828
In 0.0000 4.0572 3.5341
Cu 2.5508 0.0000 0.0000
```


This record from Alexandria describes a relaxed Tb2Dy4Er5 crystal. The functional is GGA-PBE.

Computed properties:
SG = Immm, No. 71
V = 32.34 Å³ per atom
DOS at the Fermi energy = 1.50 states/eV per atom
crystal system = orthorhombic
E_form = 5.58 kcal/mol of atoms

```
11
Lattice="-3.3513 0.0402 -0.8936 -1.9344 -5.1993 7.0209 1.0315 11.9057 3.3988" Properties=species:S:1:pos:R:3 pbc="T T T"
Tb -0.8656 5.0102 3.4717
Tb -3.3886 1.7365 6.0544
Dy -0.5935 -1.5951 2.1540
Dy -2.9553 -0.7709 4.3170
Dy -1.3409 -3.6042 4.8669
Dy -1.2989 7.5175 5.2092
Er -2.2361 8.2329 2.0245
Er -3.4087 5.0814 6.2801
Er -0.8456 1.6652 3.2460
Er -2.0181 -1.4863 7.5017
Er -1.6757 0.0201 -0.4468
```


This record from Alexandria describes a relaxed LiNbN2 crystal. The functional is GGA-PBE.

Computed properties:
SG = Fm-3m, No. 225
V = 9.03 Å³ per atom
E_form (uncorrected) = -0.7 eV/f.u.
DOS at the Fermi energy = 0.55 states/eV per atom
crystal system = cubic

```
4
Lattice="0.0000 2.6233 2.6233 2.6233 0.0000 2.6233 2.6233 2.6233 0.0000" Properties=species:S:1:pos:R:3 pbc="T T T"
Nb 2.6233 2.6233 2.6233
Li 0.0000 0.0000 0.0000
N 1.3117 1.3117 1.3117
N 3.9350 3.9350 3.9350
```


This record from Alexandria describes a relaxed Pr2Mn2NbN6 crystal. The functional is GGA-PBE.

Computed properties:
SG = R-3m, No. 166
V = 13.73 Å³ per atom
E_form (uncorrected) = -7.2 eV/f.u.
DOS at the Fermi energy = 0.41 states/eV per atom
crystal system = trigonal

```
11
Lattice="-2.6739 4.2706 2.7622 -1.7849 -0.7511 5.4099 3.1641 2.9344 4.5029" Properties=species:S:1:pos:R:3 pbc="T T T"
Pr -1.3877 4.6826 9.3469
Pr 0.0930 1.7713 3.3281
Mn 0.2233 3.5567 6.6706
Mn -1.5180 2.8972 6.0045
Nb 0.0000 0.0000 0.0000
N -2.5870 3.3819 7.2827
N -1.2170 1.1937 5.8673
N -1.6725 3.7667 4.5107
N 0.3777 2.6872 8.1644
N -0.0778 5.2602 6.8077
N 1.2923 3.0720 5.3924
```


Copy entry 5 word for word.
This record from Alexandria describes a relaxed Er8In2Cu crystal. The functional is GGA-PBE.

Computed properties:
SG = C2/m, No. 12
V = 27.55 Å³ per atom
DOS at the Fermi energy = 0.94 states/eV per atom
crystal system = monoclinic
E_form = -4.16 kcal/mol of atoms

```
11
Lattice="5.1017 0.0000 0.0000 0.0000 6.6566 0.3050 -2.5508 -2.4434 8.8119" Properties=species:S:1:pos:R:3 pbc="T T T"
Er 0.0000 1.6278 7.3561
Er 2.5508 5.7526 2.8987
Er 2.5508 3.2408 5.4007
Er 2.5508 -0.8502 8.5966
Er 0.0000 0.9724 3.7162
Er 0.0000 -1.5393 6.2181
Er 2.5508 2.5855 1.7608
Er 0.0000 5.0635 0.5203
In 2.5508 0.1561 5.5828
In 0.0000 4.0572 3.5341
Cu 2.5508 0.0000 0.0000
```